## NiAsSe (GGA-PBE)

Data for an optimized crystal structure of NiAsSe.

Calculated values
Formation energy from raw total energies ... -17.74 kJ per mole of atoms
Total magnetic moment ... 0.00 μB per formula unit

```
data_NiAsSe
_chemical_formula_sum 'Ni1 As1 Se1'
_cell_length_a 3.6110
_cell_length_b 3.6110
_cell_length_c 4.7528
_cell_angle_alpha 90.00
_cell_angle_beta 90.00
_cell_angle_gamma 120.00
_symmetry_space_group_name_H-M 'P 3 m 1'
_symmetry_Int_Tables_number 156
_symmetry_space_group_name_Hall 'P 3 -2"'
loop_
_atom_site_label
_atom_site_fract_x
_atom_site_fract_y
_atom_site_fract_z
_atom_site_occupancy
Ni1 0.0000 0.0000 0.0000 1
As1 0.3333 0.6667 0.7576 1
Se1 0.6667 0.3333 0.2508 1
```